Entry 1:
Density functional theory data (PBE-GGA) for an optimized crystal structure of Li3CeEr2S6.

For the density of states at the Fermi level, the calculation gives 4.555 states/eV/f.u. For the formation energy from raw total energies, the calculation gives -1.805 eV/atom. As for the total energy: -5.60 eV/atom. The total magnetic moment comes out at 2.0 Bohr magnetons per cell.

It has space group C2/m (No. 12), with a = 6.8252 Å, b = 11.8300 Å, c = 6.5740 Å, α = 90.00°, β = 110.14° and γ = 90.00°. The distinct sites, in fractional coordinates, are Li at (0.0000, 0.0000, 0.0000), Li at (0.0000, 0.3287, 0.0000), Ce at (0.0000, 0.5000, 0.5000), Er at (0.0000, 0.1663, 0.5000), S at (0.2403, 0.0000, 0.7523) and S at (0.2453, 0.1717, 0.2494).

Entry 2:
Density functional theory data (PBE-GGA) for an optimized crystal structure of LiCeErS4.

For the formation energy from raw total energies, the calculation gives -1.786 eV/atom. As for the total energy: -5.92 eV/atom. The total magnetic moment comes out at 0.0 Bohr magnetons per cell.

It has space group Imma (No. 74), with a = 7.7988 Å, b = 8.1604 Å, c = 11.1915 Å, α = 90.00°, β = 90.00° and γ = 90.00°. The distinct sites, in fractional coordinates, are Li at (0.0000, 0.2500, 0.1341), Ce at (0.0000, 0.0000, 0.5000), Er at (0.2500, 0.2500, 0.7500), S at (0.0000, 0.0180, 0.7429) and S at (0.2356, 0.2500, 0.5067).

Entry 3:
Density functional theory data (PBE-GGA) for an optimized crystal structure of Li3Ce2ErS6.

For the density of states at the Fermi level, the calculation gives 12.701 states/eV/f.u. For the formation energy from raw total energies, the calculation gives -1.760 eV/atom. As for the total energy: -5.67 eV/atom. The total magnetic moment comes out at 4.0 Bohr magnetons per cell.

It has space group C2/m (No. 12), with a = 6.9240 Å, b = 12.0213 Å, c = 6.5800 Å, α = 90.00°, β = 110.26° and γ = 90.00°. The distinct sites, in fractional coordinates, are Li at (0.0000, 0.0000, 0.0000), Li at (0.0000, 0.3433, 0.0000), Ce at (0.0000, 0.1675, 0.5000), Er at (0.0000, 0.5000, 0.5000), S at (0.2408, 0.5000, 0.2478) and S at (0.2454, 0.3387, 0.7542).

Entry 4:
Density functional theory data (PBE-GGA) for an optimized crystal structure of LiCeEr2S4.

For the density of states at the Fermi level, the calculation gives 6.517 states/eV/f.u. For the formation energy from raw total energies, the calculation gives -1.913 eV/atom. As for the total energy: -6.10 eV/atom. The total magnetic moment comes out at 1.1 Bohr magnetons per cell.

It has space group P2/m (No. 10), with a = 6.7526 Å, b = 3.8890 Å, c = 6.8007 Å, α = 90.00°, β = 109.26° and γ = 90.00°. The distinct sites, in fractional coordinates, are Li at (0.0000, 0.0000, 0.0000), Ce at (0.5000, 0.5000, 0.0000), Er at (0.0000, 0.5000, 0.5000), Er at (0.5000, 0.0000, 0.5000), S at (0.2387, 0.0000, 0.7420) and S at (0.2454, 0.5000, 0.2548).

Entry 5:
Density functional theory data (PBE-GGA) for an optimized crystal structure of LiCe3Er2S6.

For the density of states at the Fermi level, the calculation gives 16.923 states/eV/f.u. For the formation energy from raw total energies, the calculation gives -1.934 eV/atom. As for the total energy: -6.40 eV/atom. The total magnetic moment comes out at 6.0 Bohr magnetons per cell.

It has space group C2/m (No. 12), with a = 6.7854 Å, b = 11.7658 Å, c = 6.8846 Å, α = 90.00°, β = 109.22° and γ = 90.00°. The distinct sites, in fractional coordinates, are Li at (0.0000, 0.0000, 0.0000), Ce at (0.0000, 0.1663, 0.5000), Ce at (0.0000, 0.5000, 0.5000), Er at (0.0000, 0.3335, 0.0000), S at (0.2417, 0.1645, 0.2319) and S at (0.2485, 0.5000, 0.2313).

Entry 6:
Density functional theory data (PBE-GGA) for an optimized crystal structure of LiCe2ErS4.

For the density of states at the Fermi level, the calculation gives 10.740 states/eV/f.u. For the formation energy from raw total energies, the calculation gives -1.885 eV/atom. As for the total energy: -6.24 eV/atom. The total magnetic moment comes out at 2.3 Bohr magnetons per cell.

It has space group P2/m (No. 10), with a = 6.8056 Å, b = 3.9421 Å, c = 6.8539 Å, α = 90.00°, β = 109.44° and γ = 90.00°. The distinct sites, in fractional coordinates, are Li at (0.0000, 0.0000, 0.0000), Ce at (0.0000, 0.5000, 0.5000), Ce at (0.5000, 0.0000, 0.5000), Er at (0.5000, 0.5000, 0.0000), S at (0.2436, 0.5000, 0.2331) and S at (0.2526, 0.0000, 0.7675).

Entry 7:
Density functional theory data (PBE-GGA) for an optimized crystal structure of Li4Ce3ErSe8.

For the density of states at the Fermi level, the calculation gives 19.243 states/eV/f.u. For the formation energy from raw total energies, the calculation gives -1.616 eV/atom. As for the total energy: -5.23 eV/atom. The total magnetic moment comes out at 9.0 Bohr magnetons per cell.

It has space group R-3m (No. 166, hexagonal axes), with a = 8.3431 Å, b = 8.3431 Å, c = 19.4873 Å, α = 90.00°, β = 90.00° and γ = 120.00°. The distinct sites, in fractional coordinates, are Li at (0.0000, 0.0000, 0.0000), Li at (0.0000, 0.5000, 0.0000), Ce at (0.0000, 0.5000, 0.5000), Er at (0.0000, 0.0000, 0.5000), Se at (0.0000, 0.0000, 0.2537) and Se at (0.0092, 0.5046, 0.2520).

Entry 8:
Density functional theory data (PBE-GGA) for an optimized crystal structure of Li3Ce2ErSe6.

For the density of states at the Fermi level, the calculation gives 12.969 states/eV/f.u. For the formation energy from raw total energies, the calculation gives -1.625 eV/atom. As for the total energy: -5.22 eV/atom. The total magnetic moment comes out at 4.0 Bohr magnetons per cell.

It has space group C2/m (No. 12), with a = 7.2045 Å, b = 12.4896 Å, c = 6.9190 Å, α = 90.00°, β = 110.21° and γ = 90.00°. The distinct sites, in fractional coordinates, are Li at (0.0000, 0.0000, 0.0000), Li at (0.0000, 0.3390, 0.0000), Ce at (0.0000, 0.1672, 0.5000), Er at (0.0000, 0.5000, 0.5000), Se at (0.2393, 0.5000, 0.2452) and Se at (0.2471, 0.3384, 0.7572).

total magnetic moment of number 7 (Li4Ce3ErSe8)? 9.0 Bohr magnetons per cell